A:
Compound: Tb3Dy2Tm7
Source: Alexandria via LeMat-Bulk
Functional: GGA-PBE
Structure: optimized geometry

Results
volume	30.9	Å³/atom
N(E_F)	1.459	states/eV/atom
SG	P2/m

Geometry as extended XYZ:
```
12
Lattice="6.242 0.000 0.000 0.000 3.475 0.000 -1.871 0.000 17.114" Properties=species:S:1:pos:R:3 pbc="T T T"
Tb 0.000 0.000 0.000
Tb -0.916 1.737 11.253
Tb 5.287 1.737 5.860
Dy 2.135 0.000 5.575
Dy 2.237 0.000 11.538
Tm 1.106 1.737 2.821
Tm 0.597 0.000 8.573
Tm 0.156 0.000 14.265
Tm 3.121 1.737 0.000
Tm 4.215 0.000 2.849
Tm 3.774 0.000 8.541
Tm 3.265 1.737 14.292
```

B:
Compound: Tb3Dy2Tm7
Source: Alexandria via LeMat-Bulk
Functional: GGA-PBE
Structure: optimized geometry

Results
volume	31.0	Å³/atom
N(E_F)	1.511	states/eV/atom
SG	Cmmm

Geometry as extended XYZ:
```
12
Lattice="2.803 -18.665 0.000 2.803 18.665 0.000 0.000 0.000 3.550" Properties=species:S:1:pos:R:3 pbc="T T T"
Tb 0.000 0.000 0.000
Tb 2.803 11.757 0.000
Tb 2.803 -11.757 0.000
Dy 2.803 5.480 1.775
Dy 2.803 -5.480 1.775
Tm 2.803 15.267 1.775
Tm 2.803 8.606 1.775
Tm 2.803 2.667 0.000
Tm 2.803 0.000 1.775
Tm 2.803 -2.667 0.000
Tm 2.803 -8.606 1.775
Tm 2.803 -15.267 1.775
```

Which one is most stable, and which one is least stable? A is the most stable of them, while B is the least stable.

A:
Compound: Tb6Dy4Tm
Source: Alexandria via LeMat-Bulk
Functional: GGA-PBE
Structure: optimized geometry

Results
volume	33.7	Å³/atom
N(E_F)	1.155	states/eV/atom
SG	I-42m

Geometry as extended XYZ:
```
11
Lattice="-3.727 3.727 6.668 3.727 -3.727 6.668 3.727 3.727 -6.668" Properties=species:S:1:pos:R:3 pbc="T T T"
Tb 3.727 0.000 0.000
Tb 2.011 -2.011 4.185
Tb 1.716 1.716 2.482
Tb 0.000 3.727 0.000
Tb -2.011 2.011 4.185
Tb 2.011 2.011 9.150
Dy 2.483 2.483 -1.059
Dy 1.243 -1.243 7.727
Dy 1.243 1.243 5.609
Dy -1.243 1.243 7.727
Tm 0.000 0.000 0.000
```

B:
Compound: Tb6Dy4Tm
Source: Alexandria via LeMat-Bulk
Functional: GGA-PBE
Structure: optimized geometry

Results
volume	31.6	Å³/atom
N(E_F)	1.808	states/eV/atom
SG	Cmcm

Geometry as extended XYZ:
```
22
Lattice="2.855 -4.784 0.000 2.855 4.784 0.000 0.000 0.000 25.439" Properties=species:S:1:pos:R:3 pbc="T T T"
Tb 0.000 0.000 0.000
Tb 0.000 0.000 12.720
Tb 2.855 4.450 19.079
Tb 2.855 1.896 2.670
Tb 2.855 1.896 10.050
Tb 2.855 1.266 17.358
Tb 2.855 1.266 20.801
Tb 2.855 -1.266 4.638
Tb 2.855 -1.266 8.081
Tb 2.855 -1.896 15.389
Tb 2.855 -1.896 22.769
Tb 2.855 -4.450 6.360
Dy 2.855 4.412 15.818
Dy 2.855 4.412 22.340
Dy 2.855 1.457 13.823
Dy 2.855 1.457 24.336
Dy 2.855 -1.457 1.103
Dy 2.855 -1.457 11.616
Dy 2.855 -4.412 3.099
Dy 2.855 -4.412 9.621
Tm 2.855 1.908 6.360
Tm 2.855 -1.908 19.079
```

Which one is most stable, and which one is least stable? B is the most stable of them, while A is the least stable.

A:
Compound: TbDy12Tm6
Source: Alexandria via LeMat-Bulk
Functional: GGA-PBE
Structure: optimized geometry

Results
volume	31.7	Å³/atom
N(E_F)	1.777	states/eV/atom
SG	R-3

Geometry as extended XYZ:
```
19
Lattice="5.886 3.399 5.019 -5.886 3.399 5.019 0.000 -6.797 5.019" Properties=species:S:1:pos:R:3 pbc="T T T"
Tb 0.000 0.000 0.000
Dy -1.136 -1.704 2.879
Dy -0.908 1.836 2.879
Dy -1.376 -1.527 6.262
Dy 2.044 -0.132 2.879
Dy -2.010 0.428 8.795
Dy -0.634 1.955 6.262
Dy 0.634 -1.955 8.795
Dy 2.010 -0.428 6.262
Dy -2.044 0.132 12.178
Dy 1.376 1.527 8.795
Dy 0.908 -1.836 12.178
Dy 1.136 1.704 12.178
Tm -3.520 0.926 5.241
Tm 0.958 -3.512 5.241
Tm -2.562 -2.585 9.815
Tm 2.562 2.585 5.241
Tm -0.958 3.512 9.815
Tm 3.520 -0.926 9.815
```

B:
Compound: TbDy12Tm6
Source: Alexandria via LeMat-Bulk
Functional: GGA-PBE
Structure: optimized geometry

Results
volume	33.7	Å³/atom
N(E_F)	1.303	states/eV/atom
SG	R-3m

Geometry as extended XYZ:
```
19
Lattice="7.462 4.308 3.323 -7.462 4.308 3.323 0.000 -8.617 3.323" Properties=species:S:1:pos:R:3 pbc="T T T"
Tb 0.000 0.000 0.000
Dy -2.903 -5.028 4.985
Dy -5.806 0.000 4.985
Dy -1.633 -0.943 2.883
Dy 1.633 -0.943 2.883
Dy 0.000 1.886 2.883
Dy 2.903 -5.028 4.985
Dy -2.903 5.028 4.985
Dy 0.000 -1.886 7.086
Dy -1.633 0.943 7.086
Dy 1.633 0.943 7.086
Dy 5.806 0.000 4.985
Dy 2.903 5.028 4.985
Tm -3.119 -1.801 5.448
Tm 0.000 -3.602 4.522
Tm -3.119 1.801 4.522
Tm 3.119 -1.801 5.448
Tm 0.000 3.602 5.448
Tm 3.119 1.801 4.522
```

Which one is most stable, and which one is least stable? A is the most stable of them, while B is the least stable.

A:
Compound: Tb2Dy4Tm
Source: Alexandria via LeMat-Bulk
Functional: GGA-PBE
Structure: optimized geometry

Results
volume	31.4	Å³/atom
N(E_F)	1.687	states/eV/atom
SG	P2_1/m

Geometry as extended XYZ:
```
14
Lattice="6.062 0.000 0.000 0.000 6.534 0.000 -2.831 0.000 11.100" Properties=species:S:1:pos:R:3 pbc="T T T"
Tb -0.767 1.634 5.486
Tb 1.090 1.634 0.844
Tb 2.141 4.901 10.256
Tb 3.998 4.901 5.614
Dy -1.304 0.044 8.746
Dy -1.304 3.223 8.746
Dy 1.956 4.901 0.598
Dy 1.035 4.901 7.095
Dy 2.196 1.634 4.005
Dy 1.275 1.634 10.502
Dy 4.535 3.311 2.354
Dy 4.535 6.490 2.354
Tm 1.162 4.901 3.764
Tm 2.069 1.634 7.337
```

B:
Compound: Tb2Dy4Tm
Source: Alexandria via LeMat-Bulk
Functional: GGA-PBE
Structure: optimized geometry

Results
volume	31.2	Å³/atom
N(E_F)	1.370	states/eV/atom
SG	P3m1

Geometry as extended XYZ:
```
7
Lattice="3.561 0.000 0.000 -1.781 3.084 0.000 0.000 0.000 19.918" Properties=species:S:1:pos:R:3 pbc="T T T"
Tb 0.000 0.000 0.000
Tb 0.000 0.000 5.701
Dy 0.000 2.056 2.849
Dy 0.000 2.056 17.047
Dy 1.781 1.028 8.563
Dy 1.781 1.028 14.175
Tm 0.000 0.000 11.358
```

Which one is most stable, and which one is least stable? B is the most stable of them, while A is the least stable.

A:
Compound: Tb5DyTm6
Source: Alexandria via LeMat-Bulk
Functional: GGA-PBE
Structure: optimized geometry

Results
volume	31.1	Å³/atom
N(E_F)	1.669	states/eV/atom
SG	Immm

Geometry as extended XYZ:
```
12
Lattice="-2.851 3.703 8.832 2.851 -3.703 8.832 2.851 3.703 -8.832" Properties=species:S:1:pos:R:3 pbc="T T T"
Tb 0.000 0.000 0.000
Tb 2.851 0.000 2.697
Tb 0.000 0.000 6.141
Tb 0.000 0.000 11.523
Tb 0.000 3.703 6.136
Dy 0.000 3.703 0.000
Tm 2.851 -1.852 5.647
Tm 2.851 1.851 0.000
Tm 0.000 1.851 3.185
Tm 2.851 1.852 5.647
Tm 0.000 1.852 8.832
Tm 0.000 5.555 3.185
```

B:
Compound: Tb5DyTm6
Source: Alexandria via LeMat-Bulk
Functional: GGA-PBE
Structure: optimized geometry

Results
volume	30.6	Å³/atom
N(E_F)	1.334	states/eV/atom
SG	C2/m

Geometry as extended XYZ:
```
12
Lattice="3.048 -5.274 0.000 3.048 5.274 0.000 -2.024 0.000 11.440" Properties=species:S:1:pos:R:3 pbc="T T T"
Tb 0.000 0.000 0.000
Tb 2.036 3.516 5.720
Tb 3.048 1.758 0.000
Tb 3.048 -1.758 0.000
Tb 2.036 -3.516 5.720
Dy 2.036 0.000 5.720
Tm 1.022 1.758 2.862
Tm 0.003 0.000 8.579
Tm 1.022 -1.758 2.862
Tm 3.050 1.758 8.578
Tm 4.069 0.000 2.861
Tm 3.050 -1.758 8.578
```

Which one is most stable, and which one is least stable? B is the most stable of them, while A is the least stable.

A:
Compound: TbDy3Tm7
Source: Alexandria via LeMat-Bulk
Functional: GGA-PBE
Structure: optimized geometry

Results
volume	32.3	Å³/atom
N(E_F)	1.569	states/eV/atom
SG	P3m1

Geometry as extended XYZ:
```
11
Lattice="6.949 0.000 0.000 -3.475 6.018 0.000 0.000 0.000 8.492" Properties=species:S:1:pos:R:3 pbc="T T T"
Tb 0.000 0.000 0.000
Dy 0.000 2.008 2.858
Dy -1.735 5.014 2.858
Dy 1.735 5.014 2.858
Tm -1.727 3.015 8.491
Tm 1.728 0.998 5.701
Tm 0.000 4.012 5.707
Tm 1.727 3.015 8.491
Tm 0.000 6.007 8.491
Tm 5.221 0.998 5.701
Tm 3.475 4.023 5.701
```

B:
Compound: TbDy3Tm7
Source: Alexandria via LeMat-Bulk
Functional: GGA-PBE
Structure: optimized geometry

Results
volume	31.3	Å³/atom
N(E_F)	1.747	states/eV/atom
SG	P2/m

Geometry as extended XYZ:
```
11
Lattice="6.850 0.000 0.000 0.000 5.441 0.000 -3.369 0.000 9.231" Properties=species:S:1:pos:R:3 pbc="T T T"
Tb 0.000 0.000 0.000
Dy 0.232 2.721 4.602
Dy 3.425 0.000 0.000
Dy 3.249 2.721 4.630
Tm -1.684 0.000 4.616
Tm -1.656 2.721 7.298
Tm 1.719 2.721 1.300
Tm 1.753 0.000 3.055
Tm 1.728 0.000 6.177
Tm 1.762 2.721 7.932
Tm 5.137 2.721 1.934
```

Which one is most stable, and which one is least stable? B is the most stable of them, while A is the least stable.